Record 1
An optimized crystal structure of FeCu2Pt4. Source: Alexandria via LeMat-Bulk, functional PBE.

Lattice parameters (Å, degrees): 7.514 7.514 7.499 90.00 90.00 90.00
Space group I-42d (No. 122)
Unique sites:
1 Fe 0.000 0.000 0.000 (multiplicity 4)
2 Cu 0.123 0.750 0.625 (multiplicity 8)
3 Pt 0.080 0.671 0.959 (multiplicity 16)

Values from the calculation:
Its total moment is 17.4 μB per cell. Its energy above the lowest structure with this stoichiometry is 0.043 eV per atom. As for the total DFT energy (no corrections): -5.7610 eV per atom.

***

Record 2
An optimized crystal structure of FeCu4Pt5. Source: Alexandria via LeMat-Bulk, functional PBE.

Lattice parameters (Å, degrees): 2.762 2.762 18.291 90.00 90.00 90.00
Space group P4/mmm (No. 123)
Unique sites:
1 Fe 0.000 0.000 0.000 (multiplicity 1)
2 Cu 0.000 0.000 0.201 (multiplicity 2)
3 Cu 0.000 0.000 0.400 (multiplicity 2)
4 Pt 0.500 0.500 0.099 (multiplicity 2)
5 Pt 0.500 0.500 0.300 (multiplicity 2)
6 Pt 0.500 0.500 0.500 (multiplicity 1)

Values from the calculation:
Its total moment is 3.7 μB per cell. As for the total DFT energy (no corrections): -5.6846 eV per atom.

***

Record 3
An optimized crystal structure of FeCuPt. Source: Alexandria via LeMat-Bulk, functional PBE.

Lattice parameters (Å, degrees): 4.576 4.397 4.601 90.00 119.40 90.00
Space group P2_1/m (No. 11)
Unique sites:
1 Fe 0.185 0.250 0.015 (multiplicity 2)
2 Cu 0.150 0.750 0.654 (multiplicity 2)
3 Pt 0.487 0.750 0.313 (multiplicity 2)

Values from the calculation:
Its total moment is 6.6 μB per cell. Its energy above the lowest structure with this stoichiometry is 0.026 eV per atom. As for the total DFT energy (no corrections): -6.3254 eV per atom.

***

Record 4
An optimized crystal structure of FeCuPt6. Source: Alexandria via LeMat-Bulk, functional PBE.

Lattice parameters (Å, degrees): 7.653 5.333 6.999 90.00 110.05 90.00
Space group C2/m (No. 12)
Unique sites:
1 Fe 0.000 0.000 0.000 (multiplicity 2)
2 Cu 0.000 0.500 0.500 (multiplicity 2)
3 Pt 0.139 0.000 0.427 (multiplicity 4)
4 Pt 0.199 0.242 0.803 (multiplicity 8)

Values from the calculation:
Its total moment is 7.8 μB per cell. Its energy above the lowest structure with this stoichiometry is 0.283 eV per atom. As for the total DFT energy (no corrections): -5.9921 eV per atom.

***

Record 5
An optimized crystal structure of Fe2CuPt. Source: Alexandria via LeMat-Bulk, functional PBE.

Lattice parameters (Å, degrees): 3.685 3.685 7.691 90.00 90.00 90.00
Space group I4/mmm (No. 139)
Unique sites:
1 Fe 0.000 0.500 0.250 (multiplicity 4)
2 Cu 0.000 0.000 0.000 (multiplicity 2)
3 Pt 0.000 0.000 0.500 (multiplicity 2)

Values from the calculation:
Its total moment is 12.2 μB per cell. As for the total DFT energy (no corrections): -6.8383 eV per atom.

***

Record 6
An optimized crystal structure of Fe3Cu2Pt4. Source: Alexandria via LeMat-Bulk, functional PBE.

Lattice parameters (Å, degrees): 8.270 3.885 8.085 90.00 106.21 90.00
Space group C2/m (No. 12)
Unique sites:
1 Fe 0.000 0.000 0.000 (multiplicity 2)
2 Fe 0.162 0.500 0.562 (multiplicity 4)
3 Cu 0.175 0.500 0.229 (multiplicity 4)
4 Pt 0.014 0.000 0.337 (multiplicity 4)
5 Pt 0.163 0.500 0.890 (multiplicity 4)

Values from the calculation:
Its total moment is 20.7 μB per cell. As for the total DFT energy (no corrections): -6.6064 eV per atom.

***

Record 7
An optimized crystal structure of FeCu2Pt2. Source: Alexandria via LeMat-Bulk, functional PBE.

Lattice parameters (Å, degrees): 7.105 7.105 2.900 90.00 90.00 90.00
Space group P4/mbm (No. 127)
Unique sites:
1 Fe 0.000 0.000 0.000 (multiplicity 2)
2 Cu 0.158 0.342 0.500 (multiplicity 4)
3 Pt 0.141 0.641 0.000 (multiplicity 4)

Values from the calculation:
Its total moment is 7.3 μB per cell. Its energy above the lowest structure with this stoichiometry is 0.241 eV per atom. As for the total DFT energy (no corrections): -5.6526 eV per atom.

***

Record 8
An optimized crystal structure of Fe3CuPt. Source: Alexandria via LeMat-Bulk, functional PBE.

Lattice parameters (Å, degrees): 4.301 4.301 4.301 90.00 90.00 90.00
Space group Pm-3m (No. 221)
Unique sites:
1 Fe 0.000 0.000 0.500 (multiplicity 3)
2 Cu 0.000 0.000 0.000 (multiplicity 1)
3 Pt 0.500 0.500 0.500 (multiplicity 1)

Values from the calculation:
Its total moment is 9.2 μB per cell. Its energy above the lowest structure with this stoichiometry is 0.000 eV per atom. As for the total DFT energy (no corrections): -6.0528 eV per atom.

***

| no. | theoretical density (g/cm³) | DFT formation energy (eV/atom) |
| --- | --- | --- |
| 1 | 15.11 | 0.070 |
| 2 | 15.29 | -0.179 |
| 3 | 12.95 | -0.126 |
| 4 | 15.96 | 0.108 |
| 5 | 11.77 | -0.073 |
| 6 | 14.31 | -0.190 |
| 7 | 13.00 | 0.095 |
| 8 | 8.90 | 1.052 |